Computed, not measured: an optimized crystal structure of LaFePd at the PBE level of DFT. Values from VASP.

Structure (Quantum ESPRESSO input):
```
&SYSTEM
  ibrav = 0, nat = 3, ntyp = 3
/
ATOMIC_SPECIES
Fe 55.84 Fe.upf
La 138.91 La.upf
Pd 106.42 Pd.upf
CELL_PARAMETERS angstrom
-2.8440 1.2283 3.4714
-4.1981 -1.9704 0.3759
-0.8677 -2.9838 3.4628
ATOMIC_POSITIONS angstrom
Fe -1.9774 -0.9315 1.8275
La 0.0000 0.0000 0.0000
Pd -5.9323 -2.7945 5.4826
```

formation energy: 169 kJ/mol of formula units
total moment: 2.4 Bohr magnetons per cell
space group: F-43m